(1)
AlTl2Ag (PBE-GGA, optimized geometry); D(E_F) = 1.2 states/eV per cell; energy of formation from the pure elements = 0.1428 eV/atom; final energy = -2.6888 eV/atom; excess energy over the best structure of this formula in the dataset = 0.16 eV per formula unit; symmetry = R3m (160)
1.0
9.9170 -0.0688 -0.0404
9.3662 3.2597 -0.0404
9.3662 1.5499 2.8680
Tl Al Ag
2 1 1
Cartesian
0.2599 0.0430 0.0253
6.9506 1.1502 0.6762
21.7438 3.5981 2.1153
14.0198 2.3200 1.3639


(2)
AlTlAg2 (PBE-GGA, optimized geometry); D(E_F) = 2.4 states/eV per cell; energy of formation from the pure elements = 0.2304 eV/atom; final energy = -2.7224 eV/atom; excess energy over the best structure of this formula in the dataset = 0.68 eV per formula unit; symmetry = F-43m (216)
1.0
-0.0049 -3.7208 3.1653
3.2664 -3.6031 -0.4608
3.6192 -0.4463 3.2505
Tl Al Ag
1 1 2
Cartesian
5.1605 -5.8277 4.4662
3.4404 -3.8851 2.9775
0.0000 0.0000 0.0000
1.7202 -1.9426 1.4887


(3)
AlTl2Ag2 (PBE-GGA, optimized geometry); D(E_F) = 3.2 states/eV per cell; energy of formation from the pure elements = 0.3139 eV/atom; final energy = -2.5216 eV/atom; excess energy over the best structure of this formula in the dataset = 0.68 eV per formula unit; symmetry = P4/mbm (127)
1.0
8.1856 0.0000 0.0000
0.0000 8.1856 0.0000
0.0000 0.0000 3.5787
Tl Al Ag
4 2 4
Cartesian
2.6871 6.7799 0.0000
6.7799 5.4985 0.0000
5.4985 1.4057 0.0000
1.4057 2.6871 0.0000
0.0000 0.0000 0.0000
4.0928 4.0928 0.0000
1.0253 5.1181 1.7893
5.1181 7.1603 1.7893
7.1603 3.0675 1.7893
3.0675 1.0253 1.7893


(4)
AlTl2Ag (PBE-GGA, optimized geometry); D(E_F) = 1.8 states/eV per cell; energy of formation from the pure elements = 0.2520 eV/atom; final energy = -2.5796 eV/atom; excess energy over the best structure of this formula in the dataset = 0.59 eV per formula unit; symmetry = I-4m2 (119)
1.0
-4.2105 -3.7647 -0.1292
2.0290 -5.2592 -0.3768
1.1702 4.3131 3.4562
Tl Al Ag
2 1 1
Cartesian
0.0000 0.0000 0.0000
1.0542 -2.7290 1.4132
-2.0655 -1.9817 1.5370
-1.0908 -4.5119 -0.2530


(5)
AlTlAg3 (PBE-GGA, optimized geometry); D(E_F) = 2.1 states/eV per cell; energy of formation from the pure elements = 0.8173 eV/atom; final energy = -2.1152 eV/atom; excess energy over the best structure of this formula in the dataset = 2.48 eV per formula unit; symmetry = Pm-3m (221)
1.0
5.3213 0.0000 0.0000
0.0000 5.3213 0.0000
0.0000 0.0000 5.3213
Tl Al Ag
1 1 3
Cartesian
0.0000 0.0000 0.0000
2.6606 2.6606 2.6606
0.0000 2.6606 0.0000
0.0000 0.0000 2.6606
2.6606 0.0000 0.0000


(6)
AlTlAg2 (PBE-GGA, optimized geometry); D(E_F) = 3.5 states/eV per cell; energy of formation from the pure elements = 0.2364 eV/atom; final energy = -2.7164 eV/atom; excess energy over the best structure of this formula in the dataset = 0.70 eV per formula unit; symmetry = I-42d (122)
1.0
7.8735 0.0000 0.0000
0.0000 7.8735 0.0000
3.9367 3.9367 2.8553
Tl Al Ag
2 2 4
Cartesian
0.0000 0.0000 0.0000
7.8735 3.9367 1.4277
3.9367 3.9367 0.0000
3.9367 7.8735 1.4277
5.5574 1.9684 0.7138
2.3160 5.9051 0.7138
5.9051 6.2528 2.1415
9.8419 9.4942 2.1415


(7)
AlTlAg2 (PBE-GGA, optimized geometry); D(E_F) = 0.9 states/eV per cell; energy of formation from the pure elements = 0.1377 eV/atom; final energy = -2.8152 eV/atom; excess energy over the best structure of this formula in the dataset = 0.31 eV per formula unit; symmetry = Pm (6)
1.0
5.0001 0.0000 0.0000
0.0000 3.1396 0.0754
0.0000 -0.1126 5.1023
Tl Al Ag
1 1 2
Cartesian
2.5000 2.6683 3.7471
0.0000 1.1169 2.6106
0.0000 2.7415 0.3049
2.5000 1.1535 1.1794


(8)
AlTl2Ag (PBE-GGA, optimized geometry); D(E_F) = 0.9 states/eV per cell; energy of formation from the pure elements = 0.2128 eV/atom; final energy = -2.6188 eV/atom; excess energy over the best structure of this formula in the dataset = 0.44 eV per formula unit; symmetry = R-3m (166)
1.0
-0.2945 0.4736 10.0863
-2.2381 -2.1648 9.6098
1.0512 -2.5302 9.7231
Tl Al Ag
2 1 1
Cartesian
-1.4814 -4.2212 29.4180
-0.7408 -2.1108 14.7108
-1.1111 -3.1660 22.0644
-0.3704 -1.0553 7.3548


- Among the records above, which one has the highest excess energy over the best structure of this formula in the dataset?
  AlTlAg3